# K7Rb4Ag

Crystalline K7Rb4Ag at its relaxed geometry (PBE, Alexandria via LeMat-Bulk).

Unit cell a=6.8721 b=8.3817 c=17.1823 alpha=103.36 beta=90.00 gamma=114.20
Element x y z (fractional)
K: 0.2277 0.4554 0.0887
K: 0.7723 0.5446 0.9113
K: 0.4033 0.8067 0.3723
K: 0.5967 0.1933 0.6277
K: 0.1343 0.2686 0.4599
K: 0.5000 0.0000 0.0000
K: 0.8657 0.7314 0.5401
Rb: 0.0512 0.1024 0.8110
Rb: 0.9488 0.8976 0.1890
Rb: 0.6739 0.3478 0.2752
Rb: 0.3261 0.6522 0.7248
Ag: 0.0000 0.0000 0.0000

Results
* symmetry: No. 12
* density: 1.38 g/cm³
* magnetic moment: 0.0 μB/f.u.
* DOS at the Fermi energy: 0.69 states/eV/atom
* formation enthalpy at 0 K: 0.25 eV per formula unit